(1)
This record from Alexandria via LeMat-Bulk describes a relaxed CaZrZn4 crystal. The functional is PBE.

uncorrected energy = -2.775 eV/atom
density = 5.966 Mg/m³
formation energy from the elements = -167 meV/atom
total magnetic moment = 0.0 μB per cell

a b c (Å): 7.591 7.591 7.591
angles (deg): 90.00 90.00 90.00
Space group F-43m (No. 216)
Inequivalent atoms, fractional coordinates:
Ca: 0.000 0.000 0.000 [4 per cell]
Zr: 0.250 0.250 0.250 [4 per cell]
Zn: 0.123 0.123 0.623 [16 per cell]

(2)
This record from Alexandria via LeMat-Bulk describes a relaxed Ca2ZrZn2 crystal. The functional is PBE.

uncorrected energy = -2.987 eV/atom
density = 4.025 Mg/m³
formation energy from the elements = 33 meV/atom
total magnetic moment = 0.0 μB per cell

a b c (Å): 7.878 7.878 4.018
angles (deg): 90.00 90.00 90.00
Space group P4/mbm (No. 127)
Inequivalent atoms, fractional coordinates:
Ca: 0.167 0.333 0.000 [4 per cell]
Zr: 0.000 0.000 0.500 [2 per cell]
Zn: 0.135 0.635 0.500 [4 per cell]

(3)
This record from Alexandria via LeMat-Bulk describes a relaxed CaZrZn crystal. The functional is PBE.

uncorrected energy = -4.029 eV/atom
density = 4.309 Mg/m³
formation energy from the elements = -88 meV/atom
total magnetic moment = 0.0 μB per cell
distance to the lowest polymorph of the same formula = 0 meV per atom

a b c (Å): 3.463 3.463 25.290
angles (deg): 90.00 90.00 90.00
Space group I4/mmm (No. 139)
Inequivalent atoms, fractional coordinates:
Ca: 0.000 0.000 0.071 [4 per cell]
Zr: 0.000 0.000 0.211 [4 per cell]
Zn: 0.000 0.000 0.350 [4 per cell]